1.
Density functional theory data (PBE) for NdPa3N4 after structural relaxation.

```
data_NdPa3N4
_symmetry_space_group_name_H-M 'P 63/m m c'
_symmetry_Int_Tables_number 194
_symmetry_space_group_name_Hall '-P 6c 2c'
_cell_length_a 3.5170
_cell_length_b 3.5170
_cell_length_c 23.3484
_cell_angle_alpha 90.00
_cell_angle_beta 90.00
_cell_angle_gamma 120.00
loop_
_atom_site_label
_atom_site_type_symbol
_atom_site_fract_x
_atom_site_fract_y
_atom_site_fract_z
Nd1 Nd 0.3333 0.6667 0.2500
Pa1 Pa 0.0000 0.0000 0.0000
Pa2 Pa 0.3333 0.6667 0.6229
N1 N 0.0000 0.0000 0.1791
N2 N 0.3333 0.6667 0.0620
```


2.
Density functional theory data (PBE) for NdPa5N6 after structural relaxation.

```
data_NdPa5N6
_symmetry_space_group_name_H-M 'C 1 2/m 1'
_symmetry_Int_Tables_number 12
_cell_length_a 6.104
_cell_length_b 10.555
_cell_length_c 6.096
_cell_angle_alpha 90.00
_cell_angle_beta 109.51
_cell_angle_gamma 90.00
loop_
_symmetry_equiv_pos_as_xyz
'x,y,z'
'-x,-y,-z'
'-x,y,-z'
'x,-y,z'
'x+1/2,y+1/2,z'
'-x+1/2,-y+1/2,-z'
'-x+1/2,y+1/2,-z'
'x+1/2,-y+1/2,z'
loop_
_atom_site_label
_atom_site_type_symbol
_atom_site_fract_x
_atom_site_fract_y
_atom_site_fract_z
Nd1 Nd 0.000 0.000 0.000
Pa1 Pa 0.000 0.164 0.500
Pa2 Pa 0.000 0.333 0.000
Pa3 Pa 0.000 0.500 0.500
N1 N 0.239 0.500 0.254
N2 N 0.241 0.327 0.742
```


3.
Density functional theory data (PBE) for Nd3Pa4N8 after structural relaxation.

```
data_Nd3Pa4N8
_symmetry_space_group_name_H-M 'C 1 2/m 1'
_symmetry_Int_Tables_number 12
_cell_length_a 9.982
_cell_length_b 10.088
_cell_length_c 7.081
_cell_angle_alpha 90.00
_cell_angle_beta 134.51
_cell_angle_gamma 90.00
loop_
_symmetry_equiv_pos_as_xyz
'x,y,z'
'-x,-y,-z'
'-x,y,-z'
'x,-y,z'
'x+1/2,y+1/2,z'
'-x+1/2,-y+1/2,-z'
'-x+1/2,y+1/2,-z'
'x+1/2,-y+1/2,z'
loop_
_atom_site_label
_atom_site_type_symbol
_atom_site_fract_x
_atom_site_fract_y
_atom_site_fract_z
Nd1 Nd 0.000 0.000 0.000
Nd2 Nd 0.250 0.250 0.000
Pa1 Pa 0.000 0.000 0.500
Pa2 Pa 0.000 0.500 0.000
Pa3 Pa 0.250 0.250 0.500
N1 N 0.000 0.230 0.500
N2 N 0.000 0.261 0.000
N3 N 0.244 0.000 0.522
N4 N 0.245 0.000 0.947
```


4.
Density functional theory data (PBE) for NdPa3N6 after structural relaxation.

```
data_NdPa3N6
_symmetry_space_group_name_H-M 'C m m m'
_symmetry_Int_Tables_number 65
_symmetry_space_group_name_Hall '-C 2 2'
_cell_length_a 7.861
_cell_length_b 11.336
_cell_length_c 3.704
_cell_angle_alpha 90.00
_cell_angle_beta 90.00
_cell_angle_gamma 90.00
loop_
_atom_site_label
_atom_site_type_symbol
_atom_site_fract_x
_atom_site_fract_y
_atom_site_fract_z
Nd1 Nd 0.000 0.000 0.000
Pa1 Pa 0.000 0.500 0.000
Pa2 Pa 0.250 0.250 0.500
N1 N 0.000 0.156 0.500
N2 N 0.201 0.370 0.000
```

Properties
Energy above the most stable polymorph in this dataset ... 0.1979 eV/atom


5.
Density functional theory data (PBE) for NdPaN after structural relaxation.

```
data_NdPaN
_symmetry_space_group_name_H-M 'P 3 m 1'
_symmetry_Int_Tables_number 156
_cell_length_a 3.5537
_cell_length_b 3.5537
_cell_length_c 6.0767
_cell_angle_alpha 90.00
_cell_angle_beta 90.00
_cell_angle_gamma 120.00
loop_
_symmetry_equiv_pos_as_xyz
'x,y,z'
'-y,x-y,z'
'-x+y,-x,z'
'-y,-x,z'
'-x+y,y,z'
'x,x-y,z'
loop_
_atom_site_label
_atom_site_type_symbol
_atom_site_fract_x
_atom_site_fract_y
_atom_site_fract_z
Nd1 Nd 0.0000 0.0000 0.0000
Pa1 Pa 0.6667 0.3333 0.5350
N1 N 0.3333 0.6667 0.7252
```

Properties
Energy above the most stable polymorph in this dataset ... 0.0000 eV/atom


6.
Density functional theory data (PBE) for Nd2PaN3 after structural relaxation.

```
data_Nd2PaN3
_symmetry_space_group_name_H-M 'C 1 2/c 1'
_symmetry_Int_Tables_number 15
_cell_length_a 6.242
_cell_length_b 10.766
_cell_length_c 6.203
_cell_angle_alpha 90.00
_cell_angle_beta 109.40
_cell_angle_gamma 90.00
loop_
_symmetry_equiv_pos_as_xyz
'x,y,z'
'-x,-y,-z'
'-x,y,-z+1/2'
'x,-y,z+1/2'
'x+1/2,y+1/2,z'
'-x+1/2,-y+1/2,-z'
'-x+1/2,y+1/2,-z+1/2'
'x+1/2,-y+1/2,z+1/2'
loop_
_atom_site_label
_atom_site_type_symbol
_atom_site_fract_x
_atom_site_fract_y
_atom_site_fract_z
Nd1 Nd 0.000 0.083 0.250
Nd2 Nd 0.000 0.248 0.750
Pa1 Pa 0.000 0.415 0.250
N1 N 0.213 0.428 0.000
N2 N 0.250 0.250 0.500
```

Properties
Energy above the most stable polymorph in this dataset ... 0.0000 eV/atom


7.
Density functional theory data (PBE) for Nd3Pa5N12 after structural relaxation.

```
data_Nd3Pa5N12
_symmetry_space_group_name_H-M 'I a -3 d'
_symmetry_Int_Tables_number 230
_symmetry_space_group_name_Hall '-I 4bd 2c 3'
_cell_length_a 14.057
_cell_length_b 14.057
_cell_length_c 14.057
_cell_angle_alpha 90.00
_cell_angle_beta 90.00
_cell_angle_gamma 90.00
loop_
_atom_site_label
_atom_site_type_symbol
_atom_site_fract_x
_atom_site_fract_y
_atom_site_fract_z
Nd1 Nd 0.000 0.250 0.125
Pa1 Pa 0.000 0.000 0.000
Pa2 Pa 0.000 0.250 0.375
N1 N 0.020 0.049 0.653
```


8.
Density functional theory data (PBE) for Nd2PaN3 after structural relaxation.

```
data_Nd2PaN3
_symmetry_space_group_name_H-M 'C m m m'
_symmetry_Int_Tables_number 65
_symmetry_space_group_name_Hall '-C 2 2'
_cell_length_a 5.147
_cell_length_b 11.338
_cell_length_c 3.633
_cell_angle_alpha 90.00
_cell_angle_beta 90.00
_cell_angle_gamma 90.00
loop_
_atom_site_label
_atom_site_type_symbol
_atom_site_fract_x
_atom_site_fract_y
_atom_site_fract_z
Nd1 Nd 0.000 0.153 0.000
Pa1 Pa 0.000 0.500 0.500
N1 N 0.000 0.000 0.500
N2 N 0.000 0.373 0.000
```

Properties
Energy above the most stable polymorph in this dataset ... 0.1122 eV/atom


9.
Density functional theory data (PBE) for NdPa2PdN4 after structural relaxation.

```
data_NdPa2PdN4
_symmetry_space_group_name_H-M 'C m c m'
_symmetry_Int_Tables_number 63
_symmetry_space_group_name_Hall '-C 2c 2'
_cell_length_a 3.561
_cell_length_b 11.546
_cell_length_c 11.942
_cell_angle_alpha 90.00
_cell_angle_beta 90.00
_cell_angle_gamma 90.00
loop_
_atom_site_label
_atom_site_type_symbol
_atom_site_fract_x
_atom_site_fract_y
_atom_site_fract_z
Nd1 Nd 0.000 0.102 0.250
Pa1 Pa 0.000 0.370 0.060
Pd1 Pd 0.000 0.169 0.750
N1 N 0.000 0.000 0.000
N2 N 0.000 0.270 0.597
N3 N 0.000 0.461 0.250
```


10.
Density functional theory data (PBE) for PmNd3Pa2N6 after structural relaxation.

```
data_PmNd3Pa2N6
_symmetry_space_group_name_H-M 'C 1 2/m 1'
_symmetry_Int_Tables_number 12
_cell_length_a 6.206
_cell_length_b 10.750
_cell_length_c 6.234
_cell_angle_alpha 90.00
_cell_angle_beta 109.37
_cell_angle_gamma 90.00
loop_
_symmetry_equiv_pos_as_xyz
'x,y,z'
'-x,-y,-z'
'-x,y,-z'
'x,-y,z'
'x+1/2,y+1/2,z'
'-x+1/2,-y+1/2,-z'
'-x+1/2,y+1/2,-z'
'x+1/2,-y+1/2,z'
loop_
_atom_site_label
_atom_site_type_symbol
_atom_site_fract_x
_atom_site_fract_y
_atom_site_fract_z
Pm1 Pm 0.000 0.000 0.000
Nd1 Nd 0.000 0.165 0.500
Nd2 Nd 0.000 0.500 0.500
Pa1 Pa 0.000 0.333 0.000
N1 N 0.219 0.500 0.219
N2 N 0.249 0.323 0.779
```


11.
Density functional theory data (PBE) for PmNdPa2N4 after structural relaxation.

```
data_PmNdPa2N4
_symmetry_space_group_name_H-M 'I -4 m 2'
_symmetry_Int_Tables_number 119
_symmetry_space_group_name_Hall 'I -4 -2'
_cell_length_a 5.061
_cell_length_b 5.061
_cell_length_c 9.965
_cell_angle_alpha 90.00
_cell_angle_beta 90.00
_cell_angle_gamma 90.00
loop_
_atom_site_label
_atom_site_type_symbol
_atom_site_fract_x
_atom_site_fract_y
_atom_site_fract_z
Pm1 Pm 0.000 0.000 0.000
Nd1 Nd 0.000 0.500 0.250
Pa1 Pa 0.000 0.000 0.500
Pa2 Pa 0.000 0.500 0.750
N1 N 0.000 0.000 0.267
N2 N 0.000 0.500 0.517
```


12.
Density functional theory data (PBE) for PrNd3Pa2N6 after structural relaxation.

```
data_PrNd3Pa2N6
_symmetry_space_group_name_H-M 'C 1 2/m 1'
_symmetry_Int_Tables_number 12
_cell_length_a 15.686
_cell_length_b 3.606
_cell_length_c 7.217
_cell_angle_alpha 90.00
_cell_angle_beta 103.40
_cell_angle_gamma 90.00
loop_
_symmetry_equiv_pos_as_xyz
'x,y,z'
'-x,-y,-z'
'-x,y,-z'
'x,-y,z'
'x+1/2,y+1/2,z'
'-x+1/2,-y+1/2,-z'
'-x+1/2,y+1/2,-z'
'x+1/2,-y+1/2,z'
loop_
_atom_site_label
_atom_site_type_symbol
_atom_site_fract_x
_atom_site_fract_y
_atom_site_fract_z
Pr1 Pr 0.000 0.000 0.000
Nd1 Nd 0.000 0.000 0.500
Nd2 Nd 0.167 0.500 0.837
Pa1 Pa 0.166 0.500 0.331
N1 N 0.016 0.500 0.262
N2 N 0.168 0.000 0.113
N3 N 0.174 0.000 0.560
```


| no. | uncorrected formation energy (eV/f.u.) | Fermi-level density of states (states/eV/atom) |
| --- | --- | --- |
| 1 | -12.68 | 0.56 |
| 2 | -19.16 | 0.63 |
| 3 | -20.94 | 0.72 |
| 4 | -14.40 | 0.52 |
| 5 | -2.26 | 1.71 |
| 6 | -9.15 | 0.39 |
| 7 | -25.31 | 0.54 |
| 8 | -8.48 | 0.34 |
| 9 | -9.89 | 0.50 |
| 10 | -18.70 | 0.44 |
| 11 | -12.31 | 0.72 |
| 12 | -18.19 | 0.34 |